# 1
Here is Na3TiCr2S6 after structural relaxation from the Alexandria database. Energies are from PBE-GGA.

- total energy (eV/atom) = -5.714
- uncorrected formation energy (kcal/mol of atoms) = -24.413
- spin magnetization (Bohr magnetons per cell) = 9.944

a b c (Å): 6.161 10.668 6.911
angles (deg): 90.00 107.29 90.00
Space group C2/m (No. 12)
Unique sites:
Na  0.000  0.000  0.000 (multiplicity 2)
Na  0.000  0.335  0.000 (multiplicity 4)
Ti  0.000  0.500  0.500 (multiplicity 2)
Cr  0.000  0.167  0.500 (multiplicity 4)
S  0.227  0.000  0.704 (multiplicity 4)
S  0.238  0.329  0.703 (multiplicity 8)

***

# 2
Here is TiAs after structural relaxation from the Alexandria database. Energies are from PBE-GGA.

- total energy (eV/atom) = -6.963
- formation energy (kJ per mole of atoms) = -67
- spin magnetization (Bohr magnetons per cell) = 0.000

a b c (Å): 3.5855 3.5855 6.3704
angles (deg): 90.00 90.00 120.00
Space group P6_3/mmc (No. 194)
Unique sites:
Ti  0.3333  0.6667  0.2500 (multiplicity 2)
As  0.0000  0.0000  0.0000 (multiplicity 2)

***

# 3
Here is Pr4CuAu after structural relaxation from the Alexandria database. Energies are from PBE-GGA.

- total energy (eV/atom) = -4.655
- formation energy (kJ per mole of atoms) = -23
- spin magnetization (Bohr magnetons per cell) = 0.000

a b c (Å): 9.137 14.162 6.315
angles (deg): 90.00 120.62 90.00
Space group C2/c (No. 15)
Unique sites:
Pr  0.124  0.189  0.090 (multiplicity 8)
Pr  0.212  0.430  0.307 (multiplicity 8)
Cu  0.000  0.003  0.750 (multiplicity 4)
Au  0.000  0.380  0.750 (multiplicity 4)